18
Lattice="4.969 0.000 0.000 0.000 4.969 0.000 0.000 0.000 10.246" Properties=species:S:1:pos:R:3 comment="MnCuHgF6 | Alexandria | GGA+U | optimized geometry" space_group="P4_2nm, No. 102" magnetic_moment_mub_per_fu=4.000 final_energy_ev_per_atom=-4.4220 pbc="T T T"
Mn 2.485 2.485 5.099
Mn 0.000 0.000 10.222
Cu 2.485 2.485 8.567
Cu 0.000 0.000 3.444
Hg 2.485 2.485 1.714
Hg 0.000 0.000 6.837
F 1.031 3.939 4.953
F 3.939 1.031 4.953
F 1.454 1.454 10.076
F 3.515 3.515 10.076
F 0.893 4.076 1.709
F 4.076 0.893 1.709
F 1.592 1.592 6.832
F 3.377 3.377 6.832
F 3.898 1.072 8.703
F 1.072 3.898 8.703
F 3.556 3.556 3.580
F 1.413 1.413 3.580